Material: Ce3TmTh3
Method: DFT, PBE
State: relaxed

The structure in CIF format:
```
data_Ce3TmTh3
_cell_length_a 8.284
_cell_length_b 8.284
_cell_length_c 8.284
_cell_angle_alpha 63.62
_cell_angle_beta 63.62
_cell_angle_gamma 63.62
_space_group_name_H-M_alt 'P 1'
_space_group_IT_number 1
loop_
_space_group_symop_operation_xyz
'x,y,z'
loop_
_atom_site_label
_atom_site_fract_x
_atom_site_fract_y
_atom_site_fract_z
Ce1 0.507 0.683 0.950
Ce2 0.950 0.507 0.683
Ce3 0.050 0.493 0.317
Ce4 0.317 0.050 0.493
Ce5 0.683 0.950 0.507
Ce6 0.493 0.317 0.050
Th1 0.877 0.328 0.165
Th2 0.165 0.877 0.328
Th3 0.123 0.672 0.835
Th4 0.835 0.123 0.672
Th5 0.328 0.165 0.877
Th6 0.672 0.835 0.123
Tm1 0.578 0.578 0.578
Tm2 0.422 0.422 0.422
```

Computed properties:
Formation energy from the elements, eV/atom: 0.267
Theoretical density, g/cm3: 9.832
Symmetry: R-3 (148)
Total energy, eV/atom: -6.0945